Computed, not measured: a geometry-optimized LiLa8Ge3I4 structure at the PBE level of DFT.

The final energy comes out at -226.70 eV for the cell shown.

The space group is R-3m (No. 166, hexagonal axes) and the conventional cell measures 8.9733, 8.9733 and 22.9814 Å, with angles of 90.00, 90.00 and 120.00 degrees. The inequivalent atoms are Li at (0.0000, 0.0000, 0.0000), La at (0.0000, 0.0000, 0.2654), La at (0.0159, 0.5079, 0.2606), Ge at (0.0000, 0.5000, 0.0000), I at (0.0000, 0.0000, 0.5000) and I at (0.0000, 0.5000, 0.5000).